Entry 1:
A plane-wave DFT calculation with PBE was carried out for a relaxed structure of Pu3PbO8.

The structure in CIF format:
```
data_Pu3PbO8
_space_group_name_H-M_alt 'R -3 m'
_space_group_IT_number 166
_space_group_name_Hall '-R 3 2"'
_cell_length_a 6.9093
_cell_length_b 6.9093
_cell_length_c 18.5100
_cell_angle_alpha 90.00
_cell_angle_beta 90.00
_cell_angle_gamma 120.00
loop_
_atom_site_label
_atom_site_fract_x
_atom_site_fract_y
_atom_site_fract_z
Pu1 0.0000 0.5000 0.0000
Pb1 0.0000 0.0000 0.5000
O1 0.0000 0.0000 0.2778
O2 0.0535 0.5268 0.2744
```

Results
ρ in g/cm3: 6.95
Total magnetic moment in μB per cell: 30.00
Energy in eV/atom: -9.644
N(E_F) in states/eV per cell: 45.56
Crystal system: trigonal
Uncorrected formation energy in eV per atom: -2.446

Entry 2:
A plane-wave DFT calculation with PBE was carried out for a relaxed structure of Pu3PbO9.

The structure in CIF format:
```
data_Pu3PbO9
_space_group_name_H-M_alt 'P 6/m m m'
_space_group_IT_number 191
_space_group_name_Hall '-P 6 2'
_cell_length_a 7.9487
_cell_length_b 7.9487
_cell_length_c 4.1130
_cell_angle_alpha 90.00
_cell_angle_beta 90.00
_cell_angle_gamma 120.00
loop_
_atom_site_label
_atom_site_fract_x
_atom_site_fract_y
_atom_site_fract_z
Pu1 0.0000 0.5000 0.0000
Pb1 0.0000 0.0000 0.5000
O1 0.0000 0.5000 0.5000
O2 0.2008 0.4016 0.0000
```

Results
ρ in g/cm3: 7.99
Total magnetic moment in μB per cell: 7.98
Energy in eV/atom: -9.310
N(E_F) in states/eV per cell: 10.36
Crystal system: hexagonal
Uncorrected formation energy in eV per atom: -2.285

Entry 3:
A plane-wave DFT calculation with PBE was carried out for a relaxed structure of PuPb2O7.

The structure in CIF format:
```
data_PuPb2O7
_space_group_name_H-M_alt 'C 1 2/c 1'
_space_group_IT_number 15
_cell_length_a 10.137
_cell_length_b 7.678
_cell_length_c 9.767
_cell_angle_alpha 90.00
_cell_angle_beta 113.07
_cell_angle_gamma 90.00
loop_
_space_group_symop_operation_xyz
'x,y,z'
'-x,-y,-z'
'-x,y,-z+1/2'
'x,-y,z+1/2'
'x+1/2,y+1/2,z'
'-x+1/2,-y+1/2,-z'
'-x+1/2,y+1/2,-z+1/2'
'x+1/2,-y+1/2,z+1/2'
loop_
_atom_site_label
_atom_site_fract_x
_atom_site_fract_y
_atom_site_fract_z
Pu1 0.000 0.130 0.250
Pb1 0.086 0.339 0.617
O1 0.000 0.181 0.750
O2 0.031 0.421 0.388
O3 0.096 0.106 0.457
O4 0.189 0.130 0.232
```

Results
ρ in g/cm3: 7.32
Total magnetic moment in μB per cell: 5.45
Energy in eV/atom: -6.969
N(E_F) in states/eV per cell: 9.02
Crystal system: monoclinic
Uncorrected formation energy in eV per atom: -1.323

The lowest energy belongs to which entry? Pu3PbO8